First-principles (PBE) data for a relaxed structure of ScZn2Au, as listed in Alexandria.

abc: 4.5927 4.5927 4.5927
angles: 120.21 120.22 89.63
With the nearest neighbours (Å) after each atom.
Element x y z (fractional)
Zn (0.7500, 0.2500, 0.5000)  4 Zn 2.81, 4 Au 2.81
Au (0.4999, 0.4999, 0.0000)  4 Zn 2.81, 4 Sc 2.81
Zn (0.0001, 0.0001, 0.0000)  4 Zn 2.81, 4 Sc 2.81
Sc (0.2500, 0.7500, 0.5000)  4 Au 2.81, 4 Zn 2.81

Properties
**Formation energy from the elements**: -0.47 eV per atom
**DFT total energy**: -14.03 eV/cell
**Crystal system**: tetragonal

First-principles (PBE) data for a relaxed structure of ScZnAu3, as listed in Alexandria.

abc: 5.1970 5.1970 5.1970
angles: 90.00 90.00 90.00
With the nearest neighbours (Å) after each atom.
Element x y z (fractional)
Zn (0.5000, 0.5000, 0.5000)  12 Au 3.67
Au (0.5000, 0.0000, 0.0000)  2 Sc 2.60
Sc (0.0000, 0.0000, 0.0000)  6 Au 2.60
Au (0.0000, 0.0000, 0.5000)  2 Sc 2.60
Au (0.0000, 0.5000, 0.0000)  2 Sc 2.60

Properties
**Formation energy from the elements**: 0.45 eV per atom
**DFT total energy**: -15.17 eV/cell
**Crystal system**: cubic
**E above lowest polymorph**: 0.906 eV/atom

First-principles (PBE) data for a relaxed structure of ScZnAu, as listed in Alexandria.

abc: 3.5265 3.5265 5.0420
angles: 110.47 110.47 90.00
With the nearest neighbours (Å) after each atom.
Element x y z (fractional)
Zn (0.2870, 0.2870, 0.5739)  5 Au 2.86-2.98, 5 Sc 2.89-2.91
Au (0.9467, 0.9467, 0.8933)  5 Zn 2.86-2.98, 5 Sc 2.89-2.90
Sc (0.6164, 0.6164, 0.2327)  5 Zn 2.89-2.91, 5 Au 2.89-2.90

Properties
**Formation energy from the elements**: -0.54 eV per atom
**DFT total energy**: -12.49 eV/cell
**Crystal system**: tetragonal

First-principles (PBE) data for a relaxed structure of ScZn2Au8, as listed in Alexandria.

abc: 4.1730 6.7260 7.5881
angles: 108.75 105.96 90.00
With the nearest neighbours (Å) after each atom.
Element x y z (fractional)
Au (0.1450, 0.2053, 0.2900)  3 Zn 2.80-2.84, 7 Au 2.88-3.04, 2 Sc 2.96
Au (0.3210, 0.0810, 0.6419)  3 Zn 2.76-2.94, 1 Sc 2.84, 8 Au 2.87-2.99
Zn (0.7792, 0.3464, 0.5583)  10 Au 2.73-2.94
Au (0.6047, 0.4601, 0.2094)  3 Zn 2.73-2.89, 5 Au 2.88-2.96, 1 Sc 2.96
Au (0.6790, 0.9190, 0.3581)  3 Zn 2.76-2.94, 1 Sc 2.84, 8 Au 2.87-2.99
Au (0.0422, 0.7305, 0.0843)  1 Zn 2.82, 9 Au 2.87-3.10, 2 Sc 2.96
Sc (0.5000, 0.0000, 0.0000)  12 Au 2.84-2.96
Au (0.8550, 0.7947, 0.7100)  3 Zn 2.80-2.84, 7 Au 2.88-3.04, 2 Sc 2.96
Au (0.9578, 0.2695, 0.9157)  1 Zn 2.82, 9 Au 2.87-3.10, 2 Sc 2.96
Zn (0.2208, 0.6536, 0.4417)  10 Au 2.73-2.94
Au (0.3953, 0.5399, 0.7906)  3 Zn 2.73-2.89, 5 Au 2.88-2.96, 1 Sc 2.96

Properties
**Formation energy from the elements**: -0.32 eV per atom
**DFT total energy**: -38.62 eV/cell
**Crystal system**: monoclinic

First-principles (PBE) data for a relaxed structure of ScZn2Au, as listed in Alexandria.

abc: 3.2879 3.2879 6.4494
angles: 90.00 90.00 89.98
With the nearest neighbours (Å) after each atom.
Element x y z (fractional)
Sc (0.5000, 0.5000, 0.7500)  8 Zn 2.91, 2 Au 3.22
Zn (0.0000, 0.0000, 0.0218)  4 Au 2.75, 4 Sc 2.91, 1 Zn 2.94
Au (0.5000, 0.5000, 0.2500)  8 Zn 2.75
Zn (0.0000, 0.0000, 0.4782)  4 Au 2.75, 4 Sc 2.91, 1 Zn 2.94

Properties
**Formation energy from the elements**: -0.31 eV per atom
**DFT total energy**: -13.41 eV/cell
**Crystal system**: tetragonal

First-principles (PBE) data for a relaxed structure of Sc2Zn12Au, as listed in Alexandria.

abc: 5.4473 5.4473 17.2795
angles: 90.00 90.00 90.00
With the nearest neighbours (Å) after each atom.
Element x y z (fractional)
Zn (0.2498, 0.7498, 0.8937)  6 Zn 2.54-2.72, 2 Au 2.66
Zn (0.1705, 0.6705, 0.5659)  8 Zn 2.58-2.86
Zn (0.6705, 0.1705, 0.4341)  8 Zn 2.58-2.86
Zn (0.5000, 0.5000, 0.6584)  5 Zn 2.40-2.58
Zn (0.6705, 0.8295, 0.5659)  8 Zn 2.58-2.86
Sc (0.5000, 0.0000, 0.7361)  10 Zn 2.92-3.22
Sc (0.0000, 0.5000, 0.7361)  10 Zn 2.92-3.22
Zn (0.5000, 0.5000, 0.2025)  5 Zn 2.40-2.54
Zn (0.8295, 0.3295, 0.5659)  8 Zn 2.58-2.86
Zn (0.7498, 0.2498, 0.1063)  6 Zn 2.54-2.72, 2 Au 2.66
Zn (0.5000, 0.5000, 0.7975)  5 Zn 2.40-2.54
Zn (0.0000, 0.0000, 0.7975)  5 Zn 2.40-2.54
Zn (0.3295, 0.1705, 0.5659)  8 Zn 2.58-2.86
Zn (0.7502, 0.7498, 0.1063)  6 Zn 2.54-2.72, 2 Au 2.66
Zn (0.2502, 0.2498, 0.8937)  6 Zn 2.54-2.72, 2 Au 2.66
Zn (0.7498, 0.7502, 0.8937)  6 Zn 2.54-2.72, 2 Au 2.66
Zn (0.8295, 0.6705, 0.4341)  8 Zn 2.58-2.86
Sc (0.5000, 0.0000, 0.2639)  10 Zn 2.92-3.22
Zn (0.2502, 0.7502, 0.1063)  6 Zn 2.54-2.72, 2 Au 2.66
Zn (0.0000, 0.0000, 0.2025)  5 Zn 2.40-2.54
Zn (0.1705, 0.3295, 0.4341)  8 Zn 2.58-2.86
Sc (0.0000, 0.5000, 0.2639)  10 Zn 2.92-3.22
Zn (0.2498, 0.2502, 0.1063)  6 Zn 2.54-2.72, 2 Au 2.66
Zn (0.0000, 0.0000, 0.6584)  5 Zn 2.40-2.58
Zn (0.0000, 0.0000, 0.3416)  5 Zn 2.40-2.58
Au (0.5000, 0.0000, 0.0000)  8 Zn 2.66
Au (0.0000, 0.5000, 0.0000)  8 Zn 2.66
Zn (0.7502, 0.2502, 0.8937)  6 Zn 2.54-2.72, 2 Au 2.66
Zn (0.5000, 0.5000, 0.3416)  5 Zn 2.40-2.58
Zn (0.3295, 0.8295, 0.4341)  8 Zn 2.58-2.86

Properties
**Formation energy from the elements**: -0.13 eV per atom
**DFT total energy**: -66.36 eV/cell
**Crystal system**: tetragonal

First-principles (PBE) data for a relaxed structure of Sc11Zn9Au4, as listed in Alexandria.

abc: 3.3924 12.1000 12.1000
angles: 112.29 90.00 90.00
With the nearest neighbours (Å) after each atom.
Element x y z (fractional)
Sc (0.0000, 0.7457, 0.7457)  4 Au 2.85, 4 Zn 2.95
Zn (0.5000, 0.8543, 0.3701)  8 Sc 2.89-2.97, 1 Zn 3.03, 1 Au 3.03
Zn (0.5000, 0.0412, 0.2049)  8 Sc 2.89-2.95, 1 Au 3.09
Au (0.5000, 0.5552, 0.7421)  2 Zn 2.75-3.03, 6 Sc 2.78-2.86
Sc (0.0000, 0.8307, 0.1693)  8 Zn 2.89-2.95, 2 Sc 3.22
Zn (0.5000, 0.9588, 0.7951)  8 Sc 2.89-2.95, 1 Au 3.09
Sc (0.0000, 0.9339, 0.5879)  2 Au 2.78, 6 Zn 2.95-2.97, 1 Sc 3.11
Sc (0.0000, 0.1693, 0.8307)  8 Zn 2.89-2.95, 2 Sc 3.22
Au (0.5000, 0.4448, 0.2579)  2 Zn 2.75-3.03, 6 Sc 2.78-2.86
Zn (0.5000, 0.2049, 0.0412)  8 Sc 2.89-2.95, 1 Au 3.09
Sc (0.0000, 0.5879, 0.9339)  2 Au 2.78, 6 Zn 2.95-2.97, 1 Sc 3.11
Zn (0.5000, 0.5000, 0.5000)  4 Au 2.75
Sc (0.0000, 0.2543, 0.2543)  4 Au 2.85, 4 Zn 2.95
Au (0.5000, 0.7421, 0.5552)  2 Zn 2.75-3.03, 6 Sc 2.78-2.86
Sc (0.0000, 0.3497, 0.6503)  4 Au 2.86, 4 Zn 2.93
Zn (0.5000, 0.3701, 0.8543)  8 Sc 2.89-2.97, 1 Zn 3.03, 1 Au 3.03
Zn (0.5000, 0.7951, 0.9588)  8 Sc 2.89-2.95, 1 Au 3.09
Zn (0.5000, 0.6299, 0.1457)  8 Sc 2.89-2.97, 1 Zn 3.03, 1 Au 3.03
Sc (0.0000, 0.6503, 0.3497)  4 Au 2.86, 4 Zn 2.93
Sc (0.0000, 0.4121, 0.0661)  2 Au 2.78, 6 Zn 2.95-2.97, 1 Sc 3.11
Zn (0.5000, 0.1457, 0.6299)  8 Sc 2.89-2.97, 1 Zn 3.03, 1 Au 3.03
Sc (0.0000, 0.0000, 0.0000)  8 Zn 2.89
Au (0.5000, 0.2579, 0.4448)  2 Zn 2.75-3.03, 6 Sc 2.78-2.86
Sc (0.0000, 0.0661, 0.4121)  2 Au 2.78, 6 Zn 2.95-2.97, 1 Sc 3.11

Properties
**Formation energy from the elements**: -0.49 eV per atom
**DFT total energy**: -106.02 eV/cell
**Crystal system**: orthorhombic

First-principles (PBE) data for a relaxed structure of Sc2ZnAu6, as listed in Alexandria.

abc: 4.2851 8.7246 8.7246
angles: 90.00 90.00 90.00
With the nearest neighbours (Å) after each atom.
Element x y z (fractional)
Au (0.5000, 0.8635, 0.3635)  2 Zn 2.73, 4 Sc 2.91-3.01, 2 Au 2.98
Au (0.5000, 0.5232, 0.3284)  3 Sc 2.86-2.89, 1 Zn 2.87, 8 Au 2.98-3.06
Au (0.5001, 0.1716, 0.9768)  3 Sc 2.86-2.89, 1 Zn 2.87, 8 Au 2.98-3.06
Au (0.9999, 0.6716, 0.5232)  3 Sc 2.86-2.89, 1 Zn 2.87, 8 Au 2.98-3.06
Au (0.0001, 0.3284, 0.4768)  3 Sc 2.86-2.89, 1 Zn 2.87, 8 Au 2.98-3.06
Au (0.0000, 0.9768, 0.8284)  3 Sc 2.86-2.89, 1 Zn 2.87, 8 Au 2.98-3.06
Au (0.0000, 0.0232, 0.1716)  3 Sc 2.86-2.89, 1 Zn 2.87, 8 Au 2.98-3.06
Sc (0.5000, 0.8076, 0.6924)  10 Au 2.86-3.01, 2 Zn 3.20
Au (0.4999, 0.8284, 0.0232)  3 Sc 2.86-2.89, 1 Zn 2.87, 8 Au 2.98-3.06
Sc (0.0000, 0.3076, 0.8076)  10 Au 2.86-3.01, 2 Zn 3.20
Au (0.0000, 0.3635, 0.1365)  2 Zn 2.73, 4 Sc 2.91-3.01, 2 Au 2.98
Sc (0.5000, 0.1924, 0.3076)  10 Au 2.86-3.01, 2 Zn 3.20
Au (0.5000, 0.4768, 0.6716)  3 Sc 2.86-2.89, 1 Zn 2.87, 8 Au 2.98-3.06
Zn (0.0000, 0.0000, 0.5000)  8 Au 2.73-2.87
Au (0.0000, 0.6365, 0.8635)  2 Zn 2.73, 4 Sc 2.91-3.01, 2 Au 2.98
Zn (0.5000, 0.5000, 0.0000)  8 Au 2.73-2.87
Sc (0.0000, 0.6924, 0.1924)  10 Au 2.86-3.01, 2 Zn 3.20
Au (0.5000, 0.1365, 0.6365)  2 Zn 2.73, 4 Sc 2.91-3.01, 2 Au 2.98

Properties
**Formation energy from the elements**: -0.57 eV per atom
**DFT total energy**: -77.40 eV/cell
**Crystal system**: tetragonal

First-principles (PBE) data for a relaxed structure of Sc2Zn5Au3, as listed in Alexandria.

abc: 5.5066 8.5987 8.5987
angles: 90.36 71.33 71.33
With the nearest neighbours (Å) after each atom.
Element x y z (fractional)
Au (0.6190, 0.5360, 0.2260)  5 Zn 2.51-2.70
Au (0.8810, 0.7740, 0.4640)  5 Zn 2.51-2.70
Au (0.2500, 0.0000, 0.0000)  6 Zn 2.63-2.76, 2 Au 2.75
Sc (0.6239, 0.1147, 0.6374)  4 Au 2.93-3.04, 4 Zn 3.00-3.05
Au (0.7500, 0.0000, 0.0000)  6 Zn 2.63-2.76, 2 Au 2.75
Zn (0.0059, 0.7441, 0.7441)  5 Zn 2.55-2.75, 3 Au 2.70-2.76
Zn (0.5059, 0.7441, 0.7441)  5 Zn 2.55-2.75, 3 Au 2.70-2.76
Zn (0.6352, 0.7253, 0.0044)  3 Au 2.51-2.63, 2 Zn 2.55
Zn (0.3648, 0.2747, 0.9956)  3 Au 2.51-2.63, 2 Zn 2.55
Zn (0.1352, 0.0044, 0.7253)  3 Au 2.51-2.63, 2 Zn 2.55
Sc (0.3761, 0.8853, 0.3626)  4 Au 2.93-3.04, 4 Zn 3.00-3.05
Zn (0.2500, 0.5000, 0.5000)  4 Zn 2.64-2.75, 4 Au 2.67
Zn (0.9941, 0.2559, 0.2559)  5 Zn 2.55-2.75, 3 Au 2.70-2.76
Au (0.1190, 0.2260, 0.5360)  5 Zn 2.51-2.70
Sc (0.8761, 0.3626, 0.8853)  4 Au 2.93-3.04, 4 Zn 3.00-3.05
Zn (0.4941, 0.2559, 0.2559)  5 Zn 2.55-2.75, 3 Au 2.70-2.76
Zn (0.8648, 0.9956, 0.2747)  3 Au 2.51-2.63, 2 Zn 2.55
Sc (0.1239, 0.6374, 0.1147)  4 Au 2.93-3.04, 4 Zn 3.00-3.05
Zn (0.7500, 0.5000, 0.5000)  4 Zn 2.64-2.75, 4 Au 2.67
Au (0.3810, 0.4640, 0.7740)  5 Zn 2.51-2.70

Properties
**Formation energy from the elements**: -0.36 eV per atom
**DFT total energy**: -64.83 eV/cell
**Crystal system**: orthorhombic
**E above lowest polymorph**: 0.059 eV/atom

First-principles (PBE) data for a relaxed structure of Sc2Zn3Au, as listed in Alexandria.

abc: 5.4327 5.4327 8.3094
angles: 102.73 102.73 109.01
With the nearest neighbours (Å) after each atom.
Element x y z (fractional)
Sc (0.2500, 0.7500, 0.5000)  4 Au 3.00, 8 Zn 3.03, 2 Sc 3.15
Au (0.6669, 0.6669, 0.3339)  3 Zn 2.61
Zn (0.8363, 0.3268, 0.1630)  2 Zn 2.51, 1 Au 2.61
Zn (0.1637, 0.6732, 0.8370)  2 Zn 2.51, 1 Au 2.61
Zn (0.1632, 0.1632, 0.3264)  2 Zn 2.51, 1 Au 2.61
Zn (0.3268, 0.8363, 0.1630)  2 Zn 2.51, 1 Au 2.61
Zn (0.6732, 0.1637, 0.8370)  2 Zn 2.51, 1 Au 2.61
Sc (0.7500, 0.2500, 0.5000)  4 Au 3.00, 8 Zn 3.03, 2 Sc 3.15
Sc (0.2527, 0.2527, 0.0000)  10 Zn 2.97-3.01, 2 Au 3.00, 2 Sc 3.12-3.19
Au (0.3331, 0.3331, 0.6661)  3 Zn 2.61
Sc (0.7473, 0.7473, 0.0000)  10 Zn 2.97-3.01, 2 Au 3.00, 2 Sc 3.12-3.19
Zn (0.8368, 0.8368, 0.6736)  2 Zn 2.51, 1 Au 2.61

Properties
**Formation energy from the elements**: -0.49 eV per atom
**DFT total energy**: -45.34 eV/cell
**Crystal system**: orthorhombic
**E above lowest polymorph**: 0.000 eV/atom

Question: Which of these has the highest formation energy from the elements?
Answer: ScZnAu3

Repeat the seventh record exactly.
First-principles (PBE) data for a relaxed structure of Sc11Zn9Au4, as listed in Alexandria.

abc: 3.3924 12.1000 12.1000
angles: 112.29 90.00 90.00
With the nearest neighbours (Å) after each atom.
Element x y z (fractional)
Sc (0.0000, 0.7457, 0.7457)  4 Au 2.85, 4 Zn 2.95
Zn (0.5000, 0.8543, 0.3701)  8 Sc 2.89-2.97, 1 Zn 3.03, 1 Au 3.03
Zn (0.5000, 0.0412, 0.2049)  8 Sc 2.89-2.95, 1 Au 3.09
Au (0.5000, 0.5552, 0.7421)  2 Zn 2.75-3.03, 6 Sc 2.78-2.86
Sc (0.0000, 0.8307, 0.1693)  8 Zn 2.89-2.95, 2 Sc 3.22
Zn (0.5000, 0.9588, 0.7951)  8 Sc 2.89-2.95, 1 Au 3.09
Sc (0.0000, 0.9339, 0.5879)  2 Au 2.78, 6 Zn 2.95-2.97, 1 Sc 3.11
Sc (0.0000, 0.1693, 0.8307)  8 Zn 2.89-2.95, 2 Sc 3.22
Au (0.5000, 0.4448, 0.2579)  2 Zn 2.75-3.03, 6 Sc 2.78-2.86
Zn (0.5000, 0.2049, 0.0412)  8 Sc 2.89-2.95, 1 Au 3.09
Sc (0.0000, 0.5879, 0.9339)  2 Au 2.78, 6 Zn 2.95-2.97, 1 Sc 3.11
Zn (0.5000, 0.5000, 0.5000)  4 Au 2.75
Sc (0.0000, 0.2543, 0.2543)  4 Au 2.85, 4 Zn 2.95
Au (0.5000, 0.7421, 0.5552)  2 Zn 2.75-3.03, 6 Sc 2.78-2.86
Sc (0.0000, 0.3497, 0.6503)  4 Au 2.86, 4 Zn 2.93
Zn (0.5000, 0.3701, 0.8543)  8 Sc 2.89-2.97, 1 Zn 3.03, 1 Au 3.03
Zn (0.5000, 0.7951, 0.9588)  8 Sc 2.89-2.95, 1 Au 3.09
Zn (0.5000, 0.6299, 0.1457)  8 Sc 2.89-2.97, 1 Zn 3.03, 1 Au 3.03
Sc (0.0000, 0.6503, 0.3497)  4 Au 2.86, 4 Zn 2.93
Sc (0.0000, 0.4121, 0.0661)  2 Au 2.78, 6 Zn 2.95-2.97, 1 Sc 3.11
Zn (0.5000, 0.1457, 0.6299)  8 Sc 2.89-2.97, 1 Zn 3.03, 1 Au 3.03
Sc (0.0000, 0.0000, 0.0000)  8 Zn 2.89
Au (0.5000, 0.2579, 0.4448)  2 Zn 2.75-3.03, 6 Sc 2.78-2.86
Sc (0.0000, 0.0661, 0.4121)  2 Au 2.78, 6 Zn 2.95-2.97, 1 Sc 3.11

Properties
**Formation energy from the elements**: -0.49 eV per atom
**DFT total energy**: -106.02 eV/cell
**Crystal system**: orthorhombic

Question: Number 7 is which compound?
Answer: Sc11Zn9Au4